Entry 1:
{"formula": "NdMg2GaPd2", "functional": "GGA-PBE", "state": "optimized geometry", "sg": "I4/mmm", "lattice_angstrom": [[5.111, 0.000, 0.000], [0.000, 5.111, 0.000], [-2.555, -2.555, 5.345]], "species": ["Pd", "Mg", "Mg", "Nd", "Pd", "Ga"], "frac_coords": [[0.224, 0.224, 0.449], [0.750, 0.250, 0.500], [0.250, 0.750, 0.500], [0.500, 0.500, 0.000], [0.776, 0.776, 0.551], [0.000, 0.000, 0.000]]}

Entry 2:
{"formula": "Nd2MgGa4Pd3", "functional": "GGA-PBE", "state": "optimized geometry", "sg": "P-4m2", "lattice_angstrom": [[4.249, 0.000, 0.000], [0.000, 4.249, 0.000], [0.000, 0.000, 11.092]], "species": ["Ga", "Ga", "Ga", "Mg", "Pd", "Ga", "Nd", "Pd", "Pd", "Nd"], "frac_coords": [[0.500, 0.000, 0.647], [0.000, 0.000, 0.000], [0.500, 0.500, 0.000], [0.500, 0.500, 0.500], [0.000, 0.500, 0.128], [0.000, 0.500, 0.353], [0.000, 0.500, 0.765], [0.000, 0.000, 0.500], [0.500, 0.000, 0.872], [0.500, 0.000, 0.235]]}

| no. | DFT formation energy (eV/atom) |
| --- | --- |
| 1 | -0.3756 |
| 2 | -0.7175 |